The following is a GGA+U calculation of a geometry-optimized Ac4Mn3HgO12 structure, from Alexandria.

POSCAR file:
```
Ac4Mn3HgO12
1.0
-4.0766 4.0766 4.0766
4.0766 -4.0766 4.0766
4.0766 4.0766 -4.0766
Ac Mn Hg O
4 3 1 12
Cartesian
2.0383 2.0383 -2.0383
2.0383 -2.0383 2.0383
-2.0383 2.0383 2.0383
2.0383 2.0383 2.0383
4.0766 0.0000 0.0000
0.0000 4.0766 0.0000
0.0000 0.0000 4.0766
0.0000 0.0000 0.0000
2.2003 0.0000 0.0000
5.9529 0.0000 0.0000
4.0766 2.0383 0.0000
4.0766 0.0000 2.0383
0.0000 2.2003 0.0000
0.0000 0.0000 2.2003
2.0383 4.0766 0.0000
2.0383 0.0000 4.0766
0.0000 5.9529 0.0000
0.0000 0.0000 5.9529
0.0000 4.0766 2.0383
0.0000 2.0383 4.0766
```

## Properties
Symmetry: Im-3m
Uncorrected energy in eV/atom: -7.22
Crystal system: cubic
Spin magnetization in μB/cell: 11.00